Here is an optimized crystal structure of MnCr2SnO6 from Alexandria via LeMat-Bulk. Energies are from PBE with a Hubbard U.

Structure (POSCAR):
```
MnCr2SnO6
1.0
2.637 1.523 4.684
-2.637 1.523 4.684
0.000 -3.045 4.684
Mn Cr Sn O
1 2 1 6
direct
0.000 0.000 0.000 Mn
0.214 0.214 0.214 Cr
0.715 0.715 0.715 Cr
0.510 0.510 0.510 Sn
0.102 0.435 0.824 O
0.341 0.926 0.584 O
0.435 0.824 0.102 O
0.584 0.341 0.926 O
0.824 0.102 0.435 O
0.926 0.584 0.341 O
```

Final energy   -0.54449 Ry per atom
Space-group type   R3
M_tot   11.00 Bohr magnetons per cell